Record 1
## NdSmO4 (GGA-PBE)

Data for crystalline NdSmO4 at its relaxed geometry.

Unit cell a=3.9138 b=3.9138 c=6.5031 alpha=96.72 beta=96.72 gamma=61.69
Closest atoms and distances in Å follow each position.
Sites, in units of the cell vectors:
Nd 0.0000 0.0000 0.0000  7 O 2.35-2.58
Sm 0.3945 0.3945 0.4605  7 O 2.33-2.56
O 0.0464 0.0464 0.3758  3 Sm 2.33-2.35, 1 Nd 2.42
O 0.3500 0.3500 0.0924  3 Nd 2.35-2.36, 1 Sm 2.37
O 0.6178 0.6178 0.7976  1 O 1.51
O 0.7785 0.7785 0.6566  1 O 1.51

Results
DFT total energy = -7.749 eV/atom
Crystal system = monoclinic
ΔE_f (raw) = -2863 meV/atom
M_tot = 0.000 μB per formula unit

Record 2
## YBiClO2 (GGA-PBE)

Data for crystalline YBiClO2 at its relaxed geometry.

Unit cell a=4.4276 b=4.4276 c=5.1996 alpha=90.00 beta=90.00 gamma=90.00
Closest atoms and distances in Å follow each position.
Sites, in units of the cell vectors:
Y 0.0000 0.0000 0.0000  4 O 2.21
Bi 0.5000 0.5000 0.5000  4 Cl 3.13, 8 O 3.41
Cl 0.0000 0.0000 0.5000  2 Y 2.60
O 0.0000 0.5000 0.0000  2 Y 2.21
O 0.5000 0.0000 0.0000  2 Y 2.21

Results
DFT total energy = -5.828 eV/atom
Crystal system = tetragonal
ΔE_f (raw) = -1406 meV/atom
M_tot = 0.000 μB per formula unit

Record 3
## PmTm2Ir (GGA-PBE)

Data for crystalline PmTm2Ir at its relaxed geometry.

Unit cell a=6.4152 b=6.4152 c=9.0379 alpha=90.00 beta=90.00 gamma=145.03
Closest atoms and distances in Å follow each position.
Sites, in units of the cell vectors:
Pm 0.0695 0.9305 0.7500  2 Ir 2.94
Pm 0.9305 0.0695 0.2500  2 Ir 2.94
Tm 0.3558 0.6442 0.5664  3 Ir 2.85-3.15
Tm 0.3558 0.6442 0.9336  3 Ir 2.85-3.15
Tm 0.6442 0.3558 0.0664  3 Ir 2.85-3.15
Tm 0.6442 0.3558 0.4336  3 Ir 2.85-3.15
Ir 0.2487 0.7513 0.2500  6 Tm 2.85-3.15, 2 Pm 2.94
Ir 0.7513 0.2487 0.7500  6 Tm 2.85-3.15, 2 Pm 2.94

Results
DFT total energy = -6.184 eV/atom
Distance to the lowest polymorph of the same formula = 33 meV per atom
Crystal system = orthorhombic
M_tot = 0.000 μB per formula unit